# 1
First-principles (PBE-GGA) data for a geometry-optimized CaSe2 structure, as listed in Alexandria.

Cell: 9.238 9.238 4.037 Å, 90.00 90.00 154.69°
Positions (direct):
Ca  0.886  0.114  0.750
Ca  0.114  0.886  0.250
Se  0.249  0.751  0.750
Se  0.429  0.571  0.250
Se  0.571  0.429  0.750
Se  0.751  0.249  0.250

Properties
* V: 147.31 Å³ per cell
* spin magnetization: 0.00 μB/f.u.
* crystal system: orthorhombic
* final energy: -0.1505 Ha/atom

---

# 2
First-principles (PBE-GGA) data for a geometry-optimized CaSe3 structure, as listed in Alexandria.

Cell: 4.734 5.544 4.155 Å, 90.00 90.00 90.00°
Positions (direct):
Se  0.500  0.500  0.558
Se  0.500  0.000  0.649
Se  0.000  0.500  0.341
Ca  0.000  0.000  0.118

Properties
* V: 109.05 Å³ per cell
* spin magnetization: 0.00 μB/f.u.
* crystal system: orthorhombic
* final energy: -0.1456 Ha/atom

---

# 3
First-principles (PBE-GGA) data for a geometry-optimized CaSe2 structure, as listed in Alexandria.

Cell: 4.900 4.900 4.900 Å, 60.00 60.00 60.00°
Positions (direct):
Ca  0.000  0.000  0.000
Se  0.250  0.250  0.250
Se  0.750  0.750  0.750

Properties
* V: 83.19 Å³ per cell
* spin magnetization: 0.00 μB/f.u.
* crystal system: cubic
* final energy: -0.1421 Ha/atom

---

Which value of V does entry 1 give? 147.31 Å³ per cell

---

Copy entry 2 word for word.
First-principles (PBE-GGA) data for a geometry-optimized CaSe3 structure, as listed in Alexandria.

Cell: 4.734 5.544 4.155 Å, 90.00 90.00 90.00°
Positions (direct):
Se  0.500  0.500  0.558
Se  0.500  0.000  0.649
Se  0.000  0.500  0.341
Ca  0.000  0.000  0.118

Properties
* V: 109.05 Å³ per cell
* spin magnetization: 0.00 μB/f.u.
* crystal system: orthorhombic
* final energy: -0.1456 Ha/atom

---

Which formula does entry 3 have? CaSe2